(1)
Here is a relaxed Cs2ScCuBr6 crystal from Alexandria. Energies are from GGA-PBE.

**Space-group type**: I4/mmm (139)
**Raw formation energy**: -1.4498 eV/atom

Cell lengths 7.701, 7.701, 7.701 Å; angles 115.95, 115.95, 97.17 degrees
Atoms (fractional coordinates):
Cs1 0.250 0.750 0.500
Cs2 0.750 0.250 0.500
Sc1 0.000 0.000 0.000
Cu1 0.500 0.500 0.000
Br1 0.230 0.230 0.459
Br2 0.230 0.770 0.000
Br3 0.269 0.269 0.000
Br4 0.731 0.731 0.000
Br5 0.770 0.230 0.000
Br6 0.770 0.770 0.541

=====

(2)
Here is a relaxed CsScCuBr6 crystal from Alexandria. Energies are from GGA-PBE.

**Space-group type**: P1 (1)
**Raw formation energy**: -1.2513 eV/atom

Cell lengths 6.764, 6.813, 8.057 Å; angles 93.61, 94.86, 112.39 degrees
Atoms (fractional coordinates):
Cs1 0.000 0.000 0.000
Sc1 0.374 0.638 0.502
Cu1 0.729 0.296 0.492
Br1 0.068 0.599 0.273
Br2 0.070 0.328 0.647
Br3 0.410 0.925 0.737
Br4 0.459 0.349 0.298
Br5 0.668 0.945 0.348
Br6 0.673 0.547 0.696

=====

(3)
Here is a relaxed Cs2CuSeBr crystal from Alexandria. Energies are from GGA-PBE.

**Space-group type**: P4/mmm (123)
**Raw formation energy**: -0.9685 eV/atom

Cell lengths 7.022, 7.022, 4.480 Å; angles 90.00, 90.00, 90.00 degrees
Atoms (fractional coordinates):
Cs1 0.000 0.500 0.000
Cs2 0.500 0.000 0.000
Cu1 0.000 0.000 0.500
Se1 0.000 0.000 0.000
Br1 0.500 0.500 0.500

=====

(4)
Here is a relaxed Cs2CuSeBr6 crystal from Alexandria. Energies are from GGA-PBE.

**Space-group type**: I4/mmm (139)
**Raw formation energy**: -0.8369 eV/atom

Cell lengths 7.879, 7.879, 7.879 Å; angles 122.09, 122.09, 86.42 degrees
Atoms (fractional coordinates):
Cs1 0.250 0.750 0.500
Cs2 0.750 0.250 0.500
Cu1 0.000 0.000 0.000
Se1 0.500 0.500 0.000
Br1 0.229 0.229 0.459
Br2 0.229 0.771 0.000
Br3 0.274 0.274 0.000
Br4 0.726 0.726 0.000
Br5 0.771 0.229 0.000
Br6 0.771 0.771 0.541

=====

(5)
Here is a relaxed Cs2CuSiBr6 crystal from Alexandria. Energies are from GGA-PBE.

**Space-group type**: I4/mmm (139)
**Raw formation energy**: -0.9550 eV/atom

Cell lengths 7.562, 7.562, 7.562 Å; angles 120.44, 120.44, 89.24 degrees
Atoms (fractional coordinates):
Cs1 0.250 0.750 0.500
Cs2 0.750 0.250 0.500
Cu1 0.000 0.000 0.000
Si1 0.500 0.500 0.000
Br1 0.252 0.252 0.504
Br2 0.252 0.748 0.000
Br3 0.256 0.256 0.000
Br4 0.744 0.744 0.000
Br5 0.748 0.252 0.000
Br6 0.748 0.748 0.496

=====

(6)
Here is a relaxed Cs3SmCu2Br9 crystal from Alexandria. Energies are from GGA-PBE.

**Space-group type**: P-3m1 (164)
**Raw formation energy**: -1.3080 eV/atom

Cell lengths 7.751, 7.751, 9.596 Å; angles 90.00, 90.00, 120.00 degrees
Atoms (fractional coordinates):
Cs1 0.000 0.000 0.000
Cs2 0.333 0.667 0.675
Cs3 0.667 0.333 0.325
Sm1 0.000 0.000 0.500
Cu1 0.333 0.667 0.133
Cu2 0.667 0.333 0.867
Br1 0.000 0.500 0.000
Br2 0.173 0.345 0.326
Br3 0.173 0.827 0.326
Br4 0.345 0.173 0.674
Br5 0.500 0.000 0.000
Br6 0.500 0.500 0.000
Br7 0.655 0.827 0.326
Br8 0.827 0.173 0.674
Br9 0.827 0.655 0.674

=====

(7)
Here is a relaxed CsSmCu2Br6 crystal from Alexandria. Energies are from GGA-PBE.

**Space-group type**: C2/c (15)
**Raw formation energy**: -1.1671 eV/atom

Cell lengths 9.055, 9.055, 9.311 Å; angles 100.72, 100.72, 107.67 degrees
Atoms (fractional coordinates):
Cs1 0.142 0.858 0.750
Cs2 0.858 0.142 0.250
Sm1 0.442 0.558 0.250
Sm2 0.558 0.442 0.750
Cu1 0.105 0.376 0.741
Cu2 0.376 0.105 0.241
Cu3 0.624 0.895 0.759
Cu4 0.895 0.624 0.259
Br1 0.100 0.534 0.220
Br2 0.210 0.221 0.593
Br3 0.221 0.210 0.093
Br4 0.358 0.582 0.930
Br5 0.418 0.642 0.570
Br6 0.466 0.900 0.280
Br7 0.534 0.100 0.720
Br8 0.582 0.358 0.430
Br9 0.642 0.418 0.070
Br10 0.779 0.790 0.907
Br11 0.790 0.779 0.407
Br12 0.900 0.466 0.780

=====

(8)
Here is a relaxed CsSmCuBr5 crystal from Alexandria. Energies are from GGA-PBE.

**Space-group type**: C2/c (15)
**Raw formation energy**: -1.4455 eV/atom

Cell lengths 8.011, 8.011, 10.823 Å; angles 103.82, 103.82, 105.70 degrees
Atoms (fractional coordinates):
Cs1 0.149 0.851 0.750
Cs2 0.851 0.149 0.250
Sm1 0.500 0.500 0.000
Sm2 0.500 0.500 0.500
Cu1 0.192 0.808 0.250
Cu2 0.808 0.192 0.750
Br1 0.120 0.275 0.920
Br2 0.194 0.605 0.391
Br3 0.275 0.120 0.420
Br4 0.395 0.806 0.109
Br5 0.427 0.573 0.750
Br6 0.573 0.427 0.250
Br7 0.605 0.194 0.891
Br8 0.725 0.880 0.580
Br9 0.806 0.395 0.609
Br10 0.880 0.725 0.080

=====

(9)
Here is a relaxed CsSmCuBr6 crystal from Alexandria. Energies are from GGA-PBE.

**Space-group type**: P1 (1)
**Raw formation energy**: -1.3242 eV/atom

Cell lengths 6.951, 7.111, 8.071 Å; angles 92.65, 96.06, 112.75 degrees
Atoms (fractional coordinates):
Cs1 0.000 0.000 0.000
Sm1 0.385 0.659 0.511
Cu1 0.757 0.339 0.461
Br1 0.036 0.590 0.265
Br2 0.060 0.318 0.638
Br3 0.435 0.932 0.783
Br4 0.470 0.377 0.278
Br5 0.653 0.981 0.329
Br6 0.700 0.546 0.693

=====

(10)
Here is a relaxed Cs3Cu2SnBr9 crystal from Alexandria. Energies are from GGA-PBE.

**Space-group type**: P-3m1 (164)
**Raw formation energy**: -1.0114 eV/atom

Cell lengths 7.670, 7.670, 9.443 Å; angles 90.00, 90.00, 120.00 degrees
Atoms (fractional coordinates):
Cs1 0.000 0.000 0.000
Cs2 0.333 0.667 0.676
Cs3 0.667 0.333 0.324
Cu1 0.333 0.667 0.142
Cu2 0.667 0.333 0.858
Sn1 0.000 0.000 0.500
Br1 0.000 0.500 0.000
Br2 0.172 0.343 0.329
Br3 0.172 0.828 0.329
Br4 0.343 0.172 0.671
Br5 0.500 0.000 0.000
Br6 0.500 0.500 0.000
Br7 0.657 0.828 0.329
Br8 0.828 0.172 0.671
Br9 0.828 0.657 0.671

=====

(11)
Here is a relaxed CsCu4Sn3Br12 crystal from Alexandria. Energies are from GGA-PBE.

**Space-group type**: R32 (155)
**Raw formation energy**: -0.6329 eV/atom

Cell lengths 9.518, 9.518, 9.518 Å; angles 105.39, 105.39, 105.39 degrees
Atoms (fractional coordinates):
Cs1 0.000 0.000 0.000
Cu1 0.072 0.500 0.928
Cu2 0.500 0.500 0.500
Cu3 0.500 0.928 0.072
Cu4 0.928 0.072 0.500
Sn1 0.000 0.560 0.440
Sn2 0.440 0.000 0.560
Sn3 0.560 0.440 0.000
Br1 0.009 0.630 0.757
Br2 0.087 0.913 0.500
Br3 0.243 0.370 0.991
Br4 0.344 0.656 0.500
Br5 0.370 0.991 0.243
Br6 0.500 0.087 0.913
Br7 0.500 0.344 0.656
Br8 0.630 0.757 0.009
Br9 0.656 0.500 0.344
Br10 0.757 0.009 0.630
Br11 0.913 0.500 0.087
Br12 0.991 0.243 0.370

=====

(12)
Here is a relaxed Cs2CuSnBr5 crystal from Alexandria. Energies are from GGA-PBE.

**Space-group type**: Cmc2_1 (36)
**Raw formation energy**: -1.1187 eV/atom

Cell lengths 10.800, 10.800, 14.818 Å; angles 90.00, 90.00, 156.43 degrees
Atoms (fractional coordinates):
Cs1 0.116 0.884 0.500
Cs2 0.126 0.874 0.119
Cs3 0.874 0.126 0.619
Cs4 0.884 0.116 0.000
Cu1 0.466 0.534 0.266
Cu2 0.534 0.466 0.766
Sn1 0.202 0.798 0.814
Sn2 0.798 0.202 0.314
Br1 0.043 0.957 0.838
Br2 0.293 0.707 0.453
Br3 0.299 0.701 0.173
Br4 0.335 0.665 0.811
Br5 0.494 0.506 0.110
Br6 0.506 0.494 0.610
Br7 0.665 0.335 0.311
Br8 0.701 0.299 0.673
Br9 0.707 0.293 0.953
Br10 0.957 0.043 0.338

=====

Please write out number 8 again, unchanged.
Here is a relaxed CsSmCuBr5 crystal from Alexandria. Energies are from GGA-PBE.

**Space-group type**: C2/c (15)
**Raw formation energy**: -1.4455 eV/atom

Cell lengths 8.011, 8.011, 10.823 Å; angles 103.82, 103.82, 105.70 degrees
Atoms (fractional coordinates):
Cs1 0.149 0.851 0.750
Cs2 0.851 0.149 0.250
Sm1 0.500 0.500 0.000
Sm2 0.500 0.500 0.500
Cu1 0.192 0.808 0.250
Cu2 0.808 0.192 0.750
Br1 0.120 0.275 0.920
Br2 0.194 0.605 0.391
Br3 0.275 0.120 0.420
Br4 0.395 0.806 0.109
Br5 0.427 0.573 0.750
Br6 0.573 0.427 0.250
Br7 0.605 0.194 0.891
Br8 0.725 0.880 0.580
Br9 0.806 0.395 0.609
Br10 0.880 0.725 0.080

=====

Q: Number 7 is which compound?
A: CsSmCu2Br6